# 1
Compound: GaI
Source: Alexandria via LeMat-Bulk
Functional: PBE-GGA
Structure: optimized geometry

The structure in CIF format:
```
data_GaI
_cell_length_a 5.6360
_cell_length_b 5.6360
_cell_length_c 6.6037
_cell_angle_alpha 90.00
_cell_angle_beta 90.00
_cell_angle_gamma 120.00
_symmetry_space_group_name_H-M 'P 63/m m c'
_symmetry_Int_Tables_number 194
_symmetry_space_group_name_Hall '-P 6c 2c'
loop_
_atom_site_label
_atom_site_type_symbol
_atom_site_fract_x
_atom_site_fract_y
_atom_site_fract_z
Ga1 Ga 0.3333 0.6667 0.2500
I1 I 0.3333 0.6667 0.7500
```

The calculation puts the formation energy (no corrections) at -0.297 eV per atom.

=====

# 2
Compound: YMnW2
Source: Alexandria via LeMat-Bulk
Functional: PBE-GGA
Structure: optimized geometry

The structure in CIF format:
```
data_YMnW2
_cell_length_a 3.215
_cell_length_b 4.477
_cell_length_c 4.884
_cell_angle_alpha 90.00
_cell_angle_beta 90.00
_cell_angle_gamma 90.00
_symmetry_space_group_name_H-M 'P m m m'
_symmetry_Int_Tables_number 47
loop_
_symmetry_equiv_pos_as_xyz
'x,y,z'
'-x,-y,-z'
'-x,-y,z'
'x,y,-z'
'x,-y,-z'
'-x,y,z'
'-x,y,-z'
'x,-y,z'
loop_
_atom_site_label
_atom_site_type_symbol
_atom_site_fract_x
_atom_site_fract_y
_atom_site_fract_z
Y1 Y 0.000 0.000 0.000
Mn1 Mn 0.500 0.500 0.000
W1 W 0.000 0.500 0.500
W2 W 0.500 0.000 0.500
```

The value obtained for the total energy is -9.85 eV/atom.

=====

# 3
Compound: ScGa6Fe6
Source: Alexandria via LeMat-Bulk
Functional: PBE-GGA
Structure: optimized geometry

The structure in CIF format:
```
data_ScGa6Fe6
_cell_length_a 4.986
_cell_length_b 8.415
_cell_length_c 8.583
_cell_angle_alpha 90.00
_cell_angle_beta 90.00
_cell_angle_gamma 90.00
_symmetry_space_group_name_H-M 'I m m m'
_symmetry_Int_Tables_number 71
_symmetry_space_group_name_Hall '-I 2 2'
loop_
_atom_site_label
_atom_site_type_symbol
_atom_site_fract_x
_atom_site_fract_y
_atom_site_fract_z
Sc1 Sc 0.000 0.000 0.000
Ga1 Ga 0.000 0.000 0.341
Ga2 Ga 0.000 0.327 0.000
Ga3 Ga 0.000 0.500 0.323
Fe1 Fe 0.000 0.257 0.500
Fe2 Fe 0.250 0.250 0.250
```

The value obtained for the total energy is -6.10 eV/atom.